## CaFeMo2O8 (PBE+U)

Data for an optimized crystal structure of CaFeMo2O8.

## Properties
The value obtained for the calculated total energy is -0.5115 Ry/atom. The total magnetization comes out at 4.00 μB/f.u. The density comes out at 4.0 g/cm³.

Geometry as POSCAR:
```
CaFeMo2O8
1.0
6.092 0.132 0.000
-2.584 5.519 0.000
-1.754 -2.825 5.106
Ca Fe Mo O
1 1 2 8
Direct
0.250 0.750 0.500
0.000 0.000 0.000
0.750 0.250 0.500
0.500 0.500 0.000
0.387 0.087 0.300
0.331 0.523 0.192
0.331 0.138 0.808
0.786 0.087 0.700
0.862 0.669 0.192
0.913 0.214 0.300
0.913 0.613 0.700
0.477 0.669 0.808
```